Density functional theory data (PBE) for crystalline Pr5Nd2In4 at its relaxed geometry.

The space group is Immm (No. 71) and the conventional cell measures 3.508, 11.033 and 18.924 Å, with angles of 90.00, 90.00 and 90.00 degrees. The asymmetric unit holds Pr at (0.000, 0.000, 0.000), Pr at (0.000, 0.208, 0.329), Nd at (0.000, 0.500, 0.290), In at (0.000, 0.221, 0.500) and In at (0.000, 0.500, 0.083).

As for the total energy: -88.752 eV per cell. Its energy above the most stable polymorph in this dataset is 298 meV per atom. The density of states at the Fermi level is 27.1 states/eV/cell.

Density functional theory data (PBE) for crystalline Ce2PmC3 at its relaxed geometry.

The space group is Imma (No. 74) and the conventional cell measures 5.720, 10.311 and 7.710 Å, with angles of 90.00, 90.00 and 90.00 degrees. The asymmetric unit holds Ce at (0.000, 0.071, 0.170), Pm at (0.000, 0.250, 0.544), C at (0.121, 0.000, 0.500) and C at (0.250, 0.250, 0.250).

As for the total energy: -179.317 eV per cell. The density of states at the Fermi level is 23.6 states/eV/cell.

Density functional theory data (PBE) for crystalline NaTmPO4 at its relaxed geometry.

The space group is Imma (No. 74) and the conventional cell measures 6.112, 6.335 and 8.854 Å, with angles of 90.00, 90.00 and 90.00 degrees. The asymmetric unit holds Na at (0.250, 0.250, 0.250), Tm at (0.000, 0.000, 0.000), P at (0.000, 0.250, 0.640), O at (0.000, 0.048, 0.740) and O at (0.210, 0.250, 0.535).

As for the total energy: -190.772 eV per cell. For the uncorrected formation energy, the calculation gives -2380 meV/atom. The density of states at the Fermi level is 4.0 states/eV/cell.